## SrIn2Pd4 (PBE-GGA)

Data for crystalline SrIn2Pd4 at its relaxed geometry.

Output
**Magnetic moment**: 0.0 μB/f.u.
**DFT formation energy**: -0.520 eV/atom
**Electronic total energy**: -4.510 eV per atom

Unit cell a=8.120 b=8.120 c=4.353 alpha=90.00 beta=90.00 gamma=90.00
Space group P4_2/mnm (No. 136)
Asymmetric unit:
Sr  0.000  0.000  0.000 (multiplicity 2)
In  0.221  0.221  0.500 (multiplicity 4)
Pd  0.091  0.649  0.500 (multiplicity 8)